one) ## ScZn3Br (PBE)

Data for an optimized crystal structure of ScZn3Br.

Geometry as CIF:
```
data_ScZn3Br
_cell_length_a 5.0528
_cell_length_b 5.0528
_cell_length_c 5.0528
_cell_angle_alpha 90.00
_cell_angle_beta 90.00
_cell_angle_gamma 90.00
_space_group_name_H-M_alt 'P m -3 m'
_space_group_IT_number 221
_space_group_name_Hall '-P 4 2 3'
loop_
_atom_site_label
_atom_site_type_symbol
_atom_site_fract_x
_atom_site_fract_y
_atom_site_fract_z
Sc1 Sc 0.0000 0.0000 0.0000
Zn1 Zn 0.0000 0.5000 0.5000
Br1 Br 0.5000 0.5000 0.5000
```


two) ## ScZn3Br (PBE)

Data for an optimized crystal structure of ScZn3Br.

Geometry as CIF:
```
data_ScZn3Br
_cell_length_a 5.5042
_cell_length_b 5.5042
_cell_length_c 5.5042
_cell_angle_alpha 90.00
_cell_angle_beta 90.00
_cell_angle_gamma 90.00
_space_group_name_H-M_alt 'P m -3 m'
_space_group_IT_number 221
_space_group_name_Hall '-P 4 2 3'
loop_
_atom_site_label
_atom_site_type_symbol
_atom_site_fract_x
_atom_site_fract_y
_atom_site_fract_z
Sc1 Sc 0.0000 0.0000 0.0000
Zn1 Zn 0.0000 0.0000 0.5000
Br1 Br 0.5000 0.5000 0.5000
```


From most stable to least stable, the computed energies give two), one).


one) ## ZrScBr2 (PBE)

Data for an optimized crystal structure of ZrScBr2.

Geometry as CIF:
```
data_ZrScBr2
_cell_length_a 4.0824
_cell_length_b 5.3313
_cell_length_c 9.8135
_cell_angle_alpha 90.00
_cell_angle_beta 90.00
_cell_angle_gamma 90.00
_space_group_name_H-M_alt 'C m m 2'
_space_group_IT_number 35
loop_
_space_group_symop_operation_xyz
'x,y,z'
'-x,-y,z'
'-x,y,z'
'x,-y,z'
'x+1/2,y+1/2,z'
'-x+1/2,-y+1/2,z'
'-x+1/2,y+1/2,z'
'x+1/2,-y+1/2,z'
loop_
_atom_site_label
_atom_site_type_symbol
_atom_site_fract_x
_atom_site_fract_y
_atom_site_fract_z
Zr1 Zr 0.0000 0.0000 0.0000
Sc1 Sc 0.0000 0.5000 0.7626
Br1 Br 0.0000 0.0000 0.5796
Br2 Br 0.0000 0.5000 0.1911
```


two) ## ZrScBr2 (PBE)

Data for an optimized crystal structure of ZrScBr2.

Geometry as CIF:
```
data_ZrScBr2
_cell_length_a 3.8754
_cell_length_b 3.8754
_cell_length_c 12.2822
_cell_angle_alpha 90.00
_cell_angle_beta 90.00
_cell_angle_gamma 90.00
_space_group_name_H-M_alt 'I -4 m 2'
_space_group_IT_number 119
_space_group_name_Hall 'I -4 -2'
loop_
_atom_site_label
_atom_site_type_symbol
_atom_site_fract_x
_atom_site_fract_y
_atom_site_fract_z
Zr1 Zr 0.0000 0.0000 0.0000
Sc1 Sc 0.0000 0.5000 0.2500
Br1 Br 0.0000 0.0000 0.5000
Br2 Br 0.0000 0.5000 0.7500
```


three) ## ZrScBr2 (PBE)

Data for an optimized crystal structure of ZrScBr2.

Geometry as CIF:
```
data_ZrScBr2
_cell_length_a 3.2785
_cell_length_b 6.1328
_cell_length_c 9.3166
_cell_angle_alpha 90.00
_cell_angle_beta 90.00
_cell_angle_gamma 90.00
_space_group_name_H-M_alt 'I m m m'
_space_group_IT_number 71
_space_group_name_Hall '-I 2 2'
loop_
_atom_site_label
_atom_site_type_symbol
_atom_site_fract_x
_atom_site_fract_y
_atom_site_fract_z
Zr1 Zr 0.0000 0.0000 0.0000
Sc1 Sc 0.0000 0.0000 0.5000
Br1 Br 0.0000 0.5000 0.2533
```


four) ## ZrScBr2 (PBE)

Data for an optimized crystal structure of ZrScBr2.

Geometry as CIF:
```
data_ZrScBr2
_cell_length_a 3.4237
_cell_length_b 5.3116
_cell_length_c 5.2365
_cell_angle_alpha 90.00
_cell_angle_beta 103.89
_cell_angle_gamma 90.00
_space_group_name_H-M_alt 'P 1 m 1'
_space_group_IT_number 6
loop_
_space_group_symop_operation_xyz
'x,y,z'
'x,-y,z'
loop_
_atom_site_label
_atom_site_type_symbol
_atom_site_fract_x
_atom_site_fract_y
_atom_site_fract_z
Zr1 Zr 0.0000 0.0000 0.0000
Sc1 Sc 0.5626 0.5000 0.2518
Br1 Br 0.3331 0.0000 0.5619
Br2 Br 0.9186 0.5000 0.8196
```


From most stable to least stable, the computed energies give one), four), three), two).


one) ## ZrScBr2 (PBE)

Data for an optimized crystal structure of ZrScBr2.

Geometry as CIF:
```
data_ZrScBr2
_cell_length_a 3.3789
_cell_length_b 3.3789
_cell_length_c 27.4314
_cell_angle_alpha 90.00
_cell_angle_beta 90.00
_cell_angle_gamma 120.00
_space_group_name_H-M_alt 'R -3 m'
_space_group_IT_number 166
_space_group_name_Hall '-R 3 2"'
loop_
_atom_site_label
_atom_site_type_symbol
_atom_site_fract_x
_atom_site_fract_y
_atom_site_fract_z
Zr1 Zr 0.0000 0.0000 0.0000
Sc1 Sc 0.0000 0.0000 0.5000
Br1 Br 0.0000 0.0000 0.2560
```


two) ## ZrScBr2 (PBE)

Data for an optimized crystal structure of ZrScBr2.

Geometry as CIF:
```
data_ZrScBr2
_cell_length_a 4.9024
_cell_length_b 4.9024
_cell_length_c 3.3753
_cell_angle_alpha 90.00
_cell_angle_beta 90.00
_cell_angle_gamma 90.00
_space_group_name_H-M_alt 'P 4/m m m'
_space_group_IT_number 123
_space_group_name_Hall '-P 4 2'
loop_
_atom_site_label
_atom_site_type_symbol
_atom_site_fract_x
_atom_site_fract_y
_atom_site_fract_z
Zr1 Zr 0.0000 0.0000 0.0000
Sc1 Sc 0.5000 0.5000 0.0000
Br1 Br 0.0000 0.5000 0.5000
```


three) ## ZrScBr2 (PBE)

Data for an optimized crystal structure of ZrScBr2.

Geometry as CIF:
```
data_ZrScBr2
_cell_length_a 3.3347
_cell_length_b 5.0309
_cell_length_c 10.7842
_cell_angle_alpha 90.00
_cell_angle_beta 90.00
_cell_angle_gamma 90.00
_space_group_name_H-M_alt 'I m m 2'
_space_group_IT_number 44
loop_
_space_group_symop_operation_xyz
'x,y,z'
'-x,-y,z'
'-x,y,z'
'x,-y,z'
'x+1/2,y+1/2,z+1/2'
'-x+1/2,-y+1/2,z+1/2'
'-x+1/2,y+1/2,z+1/2'
'x+1/2,-y+1/2,z+1/2'
loop_
_atom_site_label
_atom_site_type_symbol
_atom_site_fract_x
_atom_site_fract_y
_atom_site_fract_z
Zr1 Zr 0.0000 0.0000 0.0000
Sc1 Sc 0.0000 0.5000 0.2346
Br1 Br 0.0000 0.0000 0.5151
Br2 Br 0.0000 0.5000 0.7192
```


From most stable to least stable, the computed energies give one), three), two).


one) ## ZrScBr (PBE)

Data for an optimized crystal structure of ZrScBr.

Geometry as CIF:
```
data_ZrScBr
_cell_length_a 4.1303
_cell_length_b 5.0540
_cell_length_c 13.2566
_cell_angle_alpha 90.00
_cell_angle_beta 90.00
_cell_angle_gamma 90.00
_space_group_name_H-M_alt 'F m m 2'
_space_group_IT_number 42
_space_group_name_Hall 'F 2 -2'
loop_
_atom_site_label
_atom_site_type_symbol
_atom_site_fract_x
_atom_site_fract_y
_atom_site_fract_z
Zr1 Zr 0.0000 0.0000 0.0000
Sc1 Sc 0.0000 0.0000 0.6643
Br1 Br 0.0000 0.0000 0.3314
```


two) ## ZrScBr (PBE)

Data for an optimized crystal structure of ZrScBr.

Geometry as CIF:
```
data_ZrScBr
_cell_length_a 3.4477
_cell_length_b 3.4477
_cell_length_c 6.7523
_cell_angle_alpha 90.00
_cell_angle_beta 90.00
_cell_angle_gamma 120.00
_space_group_name_H-M_alt 'P 3 m 1'
_space_group_IT_number 156
loop_
_space_group_symop_operation_xyz
'x,y,z'
'-y,x-y,z'
'-x+y,-x,z'
'-y,-x,z'
'-x+y,y,z'
'x,x-y,z'
loop_
_atom_site_label
_atom_site_type_symbol
_atom_site_fract_x
_atom_site_fract_y
_atom_site_fract_z
Zr1 Zr 0.0000 0.0000 0.0000
Sc1 Sc 0.6667 0.3333 0.6598
Br1 Br 0.3333 0.6667 0.3223
```


three) ## ZrScBr (PBE)

Data for an optimized crystal structure of ZrScBr.

Geometry as CIF:
```
data_ZrScBr
_cell_length_a 10.2417
_cell_length_b 3.2600
_cell_length_c 9.7688
_cell_angle_alpha 90.00
_cell_angle_beta 120.59
_cell_angle_gamma 90.00
_space_group_name_H-M_alt 'C 1 m 1'
_space_group_IT_number 8
loop_
_space_group_symop_operation_xyz
'x,y,z'
'x,-y,z'
'x+1/2,y+1/2,z'
'x+1/2,-y+1/2,z'
loop_
_atom_site_label
_atom_site_type_symbol
_atom_site_fract_x
_atom_site_fract_y
_atom_site_fract_z
Zr1 Zr 0.0000 0.0000 0.0000
Zr2 Zr 0.0248 0.5000 0.5708
Sc1 Sc 0.1745 0.5000 0.3219
Sc2 Sc 0.3588 0.0000 0.2113
Br1 Br 0.2190 0.0000 0.8781
Br2 Br 0.3390 0.5000 0.6468
```


From most stable to least stable, the computed energies give two), one), three).


one) ## ZrScBr (PBE)

Data for an optimized crystal structure of ZrScBr.

Geometry as CIF:
```
data_ZrScBr
_cell_length_a 3.2622
_cell_length_b 3.2622
_cell_length_c 13.0909
_cell_angle_alpha 90.00
_cell_angle_beta 90.00
_cell_angle_gamma 90.00
_space_group_name_H-M_alt 'I 4 m m'
_space_group_IT_number 107
_space_group_name_Hall 'I 4 -2'
loop_
_atom_site_label
_atom_site_type_symbol
_atom_site_fract_x
_atom_site_fract_y
_atom_site_fract_z
Zr1 Zr 0.0000 0.0000 0.0000
Sc1 Sc 0.0000 0.0000 0.6608
Br1 Br 0.0000 0.0000 0.3266
```


two) ## ZrScBr (PBE)

Data for an optimized crystal structure of ZrScBr.

Geometry as CIF:
```
data_ZrScBr
_cell_length_a 6.4771
_cell_length_b 6.4771
_cell_length_c 6.4771
_cell_angle_alpha 90.00
_cell_angle_beta 90.00
_cell_angle_gamma 90.00
_space_group_name_H-M_alt 'F -4 3 m'
_space_group_IT_number 216
_space_group_name_Hall 'F -4 2 3'
loop_
_atom_site_label
_atom_site_type_symbol
_atom_site_fract_x
_atom_site_fract_y
_atom_site_fract_z
Zr1 Zr 0.0000 0.0000 0.0000
Sc1 Sc 0.0000 0.0000 0.5000
Br1 Br 0.2500 0.2500 0.2500
```


From most stable to least stable, the computed energies give one), two).


one) ## Se5Br (PBE)

Data for an optimized crystal structure of Se5Br.

Geometry as CIF:
```
data_Se5Br
_cell_length_a 11.6874
_cell_length_b 3.6066
_cell_length_c 9.3005
_cell_angle_alpha 90.00
_cell_angle_beta 114.35
_cell_angle_gamma 90.00
_space_group_name_H-M_alt 'C 1 m 1'
_space_group_IT_number 8
loop_
_space_group_symop_operation_xyz
'x,y,z'
'x,-y,z'
'x+1/2,y+1/2,z'
'x+1/2,-y+1/2,z'
loop_
_atom_site_label
_atom_site_type_symbol
_atom_site_fract_x
_atom_site_fract_y
_atom_site_fract_z
Se1 Se 0.0000 0.0000 0.0000
Se2 Se 0.0097 0.0000 0.5948
Se3 Se 0.1154 0.5000 0.1973
Se4 Se 0.1769 0.5000 0.6791
Se5 Se 0.3085 0.0000 0.9049
Br1 Br 0.3188 0.0000 0.3835
```


two) ## Se5Br (PBE)

Data for an optimized crystal structure of Se5Br.

Geometry as CIF:
```
data_Se5Br
_cell_length_a 3.8804
_cell_length_b 3.8804
_cell_length_c 10.9616
_cell_angle_alpha 90.00
_cell_angle_beta 90.00
_cell_angle_gamma 90.00
_space_group_name_H-M_alt 'P 4/m m m'
_space_group_IT_number 123
_space_group_name_Hall '-P 4 2'
loop_
_atom_site_label
_atom_site_type_symbol
_atom_site_fract_x
_atom_site_fract_y
_atom_site_fract_z
Se1 Se 0.0000 0.0000 0.0000
Se2 Se 0.0000 0.0000 0.2340
Se3 Se 0.5000 0.5000 0.2599
Br1 Br 0.5000 0.5000 0.5000
```


From most stable to least stable, the computed energies give one), two).


one) ## Se5Br (PBE)

Data for an optimized crystal structure of Se5Br.

Geometry as CIF:
```
data_Se5Br
_cell_length_a 3.7012
_cell_length_b 3.9085
_cell_length_c 21.4446
_cell_angle_alpha 90.00
_cell_angle_beta 90.00
_cell_angle_gamma 90.00
_space_group_name_H-M_alt 'A m m 2'
_space_group_IT_number 38
loop_
_space_group_symop_operation_xyz
'x,y,z'
'-x,-y,z'
'-x,y,z'
'x,-y,z'
'x,y+1/2,z+1/2'
'-x,-y+1/2,z+1/2'
'-x,y+1/2,z+1/2'
'x,-y+1/2,z+1/2'
loop_
_atom_site_label
_atom_site_type_symbol
_atom_site_fract_x
_atom_site_fract_y
_atom_site_fract_z
Se1 Se 0.0000 0.0000 0.0000
Se2 Se 0.0000 0.0000 0.2962
Se3 Se 0.0000 0.0000 0.6573
Se4 Se 0.5000 0.0000 0.0755
Se5 Se 0.5000 0.0000 0.7410
Br1 Br 0.5000 0.0000 0.3983
```


two) ## Se5Br (PBE)

Data for an optimized crystal structure of Se5Br.

Geometry as CIF:
```
data_Se5Br
_cell_length_a 7.0306
_cell_length_b 7.0306
_cell_length_c 3.6131
_cell_angle_alpha 90.00
_cell_angle_beta 90.00
_cell_angle_gamma 120.00
_space_group_name_H-M_alt 'P 6/m m m'
_space_group_IT_number 191
_space_group_name_Hall '-P 6 2'
loop_
_atom_site_label
_atom_site_type_symbol
_atom_site_fract_x
_atom_site_fract_y
_atom_site_fract_z
Se1 Se 0.0000 0.5000 0.0000
Se2 Se 0.3333 0.6667 0.5000
Br1 Br 0.0000 0.0000 0.5000
```


three) ## Se5Br (PBE)

Data for an optimized crystal structure of Se5Br.

Geometry as CIF:
```
data_Se5Br
_cell_length_a 8.2642
_cell_length_b 8.2642
_cell_length_c 8.2642
_cell_angle_alpha 90.00
_cell_angle_beta 90.00
_cell_angle_gamma 90.00
_space_group_name_H-M_alt 'F -4 3 m'
_space_group_IT_number 216
_space_group_name_Hall 'F -4 2 3'
loop_
_atom_site_label
_atom_site_type_symbol
_atom_site_fract_x
_atom_site_fract_y
_atom_site_fract_z
Se1 Se 0.0000 0.0000 0.0000
Se2 Se 0.1395 0.1395 0.6395
Br1 Br 0.2500 0.2500 0.2500
```


From most stable to least stable, the computed energies give one), two), three).


one) ## SeBr4 (PBE)

Data for an optimized crystal structure of SeBr4.

Geometry as CIF:
```
data_SeBr4
_cell_length_a 10.9293
_cell_length_b 10.9293
_cell_length_c 32.0454
_cell_angle_alpha 90.00
_cell_angle_beta 90.00
_cell_angle_gamma 120.00
_space_group_name_H-M_alt 'P 3 1 c'
_space_group_IT_number 159
loop_
_space_group_symop_operation_xyz
'x,y,z'
'-y,x-y,z'
'-x+y,-x,z'
'y,x,z+1/2'
'x-y,-y,z+1/2'
'-x,-x+y,z+1/2'
loop_
_atom_site_label
_atom_site_type_symbol
_atom_site_fract_x
_atom_site_fract_y
_atom_site_fract_z
Se1 Se 0.0000 0.0000 0.1117
Se2 Se 0.0213 0.2442 0.0000
Se3 Se 0.0743 0.6100 0.3030
Se4 Se 0.3333 0.6667 0.1924
Br1 Br 0.0000 0.0000 0.4534
Br2 Br 0.0036 0.1914 0.1501
Br3 Br 0.0183 0.8056 0.5523
Br4 Br 0.0428 0.4197 0.0494
Br5 Br 0.0541 0.7817 0.3447
Br6 Br 0.0624 0.4725 0.8476
Br7 Br 0.1103 0.6767 0.7542
Br8 Br 0.1196 0.6048 0.1534
Br9 Br 0.1605 0.4425 0.2500
Br10 Br 0.1632 0.4045 0.4583
Br11 Br 0.1852 0.7834 0.9561
Br12 Br 0.3333 0.6667 0.3485
```


two) ## SeBr4 (PBE)

Data for an optimized crystal structure of SeBr4.

Geometry as CIF:
```
data_SeBr4
_cell_length_a 5.3203
_cell_length_b 5.3203
_cell_length_c 5.3203
_cell_angle_alpha 90.00
_cell_angle_beta 90.00
_cell_angle_gamma 90.00
_space_group_name_H-M_alt 'P m -3 m'
_space_group_IT_number 221
_space_group_name_Hall '-P 4 2 3'
loop_
_atom_site_label
_atom_site_type_symbol
_atom_site_fract_x
_atom_site_fract_y
_atom_site_fract_z
Se1 Se 0.0000 0.0000 0.0000
Br1 Br 0.0000 0.0000 0.5000
Br2 Br 0.5000 0.5000 0.5000
```


From most stable to least stable, the computed energies give one), two).


one) ## SiSe2Br2 (PBE)

Data for an optimized crystal structure of SiSe2Br2.

Geometry as CIF:
```
data_SiSe2Br2
_cell_length_a 7.2163
_cell_length_b 7.2163
_cell_length_c 7.6490
_cell_angle_alpha 90.00
_cell_angle_beta 90.00
_cell_angle_gamma 90.00
_space_group_name_H-M_alt 'P 4/m b m'
_space_group_IT_number 127
_space_group_name_Hall '-P 4 2ab'
loop_
_atom_site_label
_atom_site_type_symbol
_atom_site_fract_x
_atom_site_fract_y
_atom_site_fract_z
Si1 Si 0.0000 0.0000 0.0000
Se1 Se 0.1079 0.3921 0.5000
Br1 Br 0.2015 0.7015 0.0000
```


two) ## SiSe2Br2 (PBE)

Data for an optimized crystal structure of SiSe2Br2.

Geometry as CIF:
```
data_SiSe2Br2
_cell_length_a 3.6450
_cell_length_b 3.6450
_cell_length_c 23.7709
_cell_angle_alpha 90.00
_cell_angle_beta 90.00
_cell_angle_gamma 90.00
_space_group_name_H-M_alt 'I 4/m m m'
_space_group_IT_number 139
_space_group_name_Hall '-I 4 2'
loop_
_atom_site_label
_atom_site_type_symbol
_atom_site_fract_x
_atom_site_fract_y
_atom_site_fract_z
Si1 Si 0.0000 0.0000 0.0000
Se1 Se 0.0000 0.5000 0.2500
Br1 Br 0.0000 0.0000 0.4312
```


From most stable to least stable, the computed energies give two), one).